Record 1
Computed, not measured: Sr2ZrAs after structural relaxation at the GGA-PBE level of DFT.

The calculation puts the total magnetic moment at 0.30 μB per formula unit. For the density of states at the Fermi level, the calculation gives 12.32 states/eV per cell. As for the formation energy: -151 kJ/mol of formula units.

The structure belongs to space group R3m (No. 160, hexagonal axes); the cell edges are 4.0541, 4.0541 and 29.8403 Å and the angles 90.00°, 90.00° and 120.00°. The asymmetric unit holds Sr at (0.0000, 0.0000, 0.0000), Sr at (0.0000, 0.0000, 0.2072), Zr at (0.0000, 0.0000, 0.4442) and As at (0.0000, 0.0000, 0.7341).

***

Record 2
Computed, not measured: SrZr2As2 after structural relaxation at the GGA-PBE level of DFT.

The calculation puts the total magnetic moment at 0.00 μB per formula unit. For the density of states at the Fermi level, the calculation gives 3.25 states/eV per cell. As for the formation energy: -356 kJ/mol of formula units.

The structure belongs to space group P4/mbm (No. 127); the cell edges are 7.833, 7.833 and 3.631 Å and the angles 90.00°, 90.00° and 90.00°. The asymmetric unit holds Sr at (0.000, 0.000, 0.000), Zr at (0.144, 0.356, 0.500) and As at (0.140, 0.640, 0.000).

***

Record 3
Computed, not measured: Sr2ZrAs after structural relaxation at the GGA-PBE level of DFT.

The calculation puts the total magnetic moment at 1.13 μB per formula unit. For the density of states at the Fermi level, the calculation gives 7.92 states/eV per cell. As for the formation energy: 38 kJ/mol of formula units.

The structure belongs to space group I-4m2 (No. 119); the cell edges are 4.697, 4.697 and 10.753 Å and the angles 90.00°, 90.00° and 90.00°. The asymmetric unit holds Sr at (0.000, 0.000, 0.000), Sr at (0.000, 0.500, 0.250), Zr at (0.000, 0.500, 0.750) and As at (0.000, 0.000, 0.500).

***

Record 4
Computed, not measured: SrZr2As2 after structural relaxation at the GGA-PBE level of DFT.

The calculation puts the total magnetic moment at 0.00 μB per formula unit. For the density of states at the Fermi level, the calculation gives 8.21 states/eV per cell. As for the formation energy: -430 kJ/mol of formula units.

The structure belongs to space group I4/mmm (No. 139); the cell edges are 4.340, 4.340 and 13.149 Å and the angles 90.00°, 90.00° and 90.00°. The asymmetric unit holds Sr at (0.000, 0.000, 0.000), Zr at (0.000, 0.500, 0.250) and As at (0.000, 0.000, 0.380).

***

Record 5
Computed, not measured: Ta5As3 after structural relaxation at the GGA-PBE level of DFT.

The calculation puts the total magnetic moment at 0.00 μB per formula unit. For the density of states at the Fermi level, the calculation gives 11.57 states/eV per cell. As for the formation energy: -238 kJ/mol of formula units.

The structure belongs to space group Cm (No. 8); the cell edges are 5.592, 14.001 and 7.534 Å and the angles 90.00°, 111.76° and 90.00°. The asymmetric unit holds Ta at (0.000, 0.000, 0.000), Ta at (0.000, 0.500, 0.000), Ta at (0.083, 0.104, 0.658), Ta at (0.140, 0.329, 0.792), Ta at (0.348, 0.329, 0.208), Ta at (0.424, 0.104, 0.342), As at (0.151, 0.500, 0.652), As at (0.171, 0.174, 0.000), As at (0.249, 0.250, 0.500) and As at (0.499, 0.500, 0.348).

***

Record 6
Computed, not measured: TaAs2 after structural relaxation at the GGA-PBE level of DFT.

The calculation puts the total magnetic moment at 0.00 μB per formula unit. For the density of states at the Fermi level, the calculation gives 2.98 states/eV per cell. As for the formation energy: 113 kJ/mol of formula units.

The structure belongs to space group P6/mmm (No. 191); the cell edges are 4.7480, 4.7480 and 2.7676 Å and the angles 90.00°, 90.00° and 120.00°. The asymmetric unit holds Ta at (0.0000, 0.0000, 0.0000) and As at (0.3333, 0.6667, 0.5000).